[1]
# PBE Sc2Zn2O5, relaxed
data_Sc2Zn2O5
_chemical_formula_sum 'Sc2 Zn2 O5'
_space_group_name_H-M_alt 'P 4/m m m'
_space_group_IT_number 123
_space_group_name_Hall '-P 4 2'
_cell_length_a 3.7941
_cell_length_b 3.7941
_cell_length_c 6.9849
_cell_angle_alpha 90.00
_cell_angle_beta 90.00
_cell_angle_gamma 90.00
loop_
_atom_site_label
_atom_site_type_symbol
_atom_site_fract_x
_atom_site_fract_y
_atom_site_fract_z
_atom_site_occupancy
Sc1 Sc 0.0000 0.0000 0.0000 1
Sc2 Sc 0.0000 0.0000 0.5000 1
Zn1 Zn 0.5000 0.5000 0.2232 1
O1 O 0.0000 0.5000 0.1870 1
O2 O 0.5000 0.5000 0.5000 1
# Relative energy among the computed polymorphs (meV per atom): 111
# Total DFT energy (no corrections) (eV per atom): -6.28

[2]
# PBE SmTe, relaxed
data_SmTe
_chemical_formula_sum 'Sm3 Te3'
_space_group_name_H-M_alt 'P -3 m 1'
_space_group_IT_number 164
_space_group_name_Hall '-P 3 2"'
_cell_length_a 4.4570
_cell_length_b 4.4570
_cell_length_c 10.8191
_cell_angle_alpha 90.00
_cell_angle_beta 90.00
_cell_angle_gamma 120.00
loop_
_atom_site_label
_atom_site_type_symbol
_atom_site_fract_x
_atom_site_fract_y
_atom_site_fract_z
_atom_site_occupancy
Sm1 Sm 0.0000 0.0000 0.0000 1
Sm2 Sm 0.3333 0.6667 0.6658 1
Te1 Te 0.0000 0.0000 0.5000 1
Te2 Te 0.3333 0.6667 0.1663 1
# Total DFT energy (no corrections) (eV per atom): -5.31

[3]
# PBE ZrHgAs2, relaxed
data_ZrHgAs2
_chemical_formula_sum 'Zr4 Hg4 As8'
_space_group_name_H-M_alt 'F -4 3 m'
_space_group_IT_number 216
_space_group_name_Hall 'F -4 2 3'
_cell_length_a 6.9120
_cell_length_b 6.9120
_cell_length_c 6.9120
_cell_angle_alpha 90.00
_cell_angle_beta 90.00
_cell_angle_gamma 90.00
loop_
_atom_site_label
_atom_site_type_symbol
_atom_site_fract_x
_atom_site_fract_y
_atom_site_fract_z
_atom_site_occupancy
Zr1 Zr 0.0000 0.0000 0.0000 1
Hg1 Hg 0.2500 0.2500 0.7500 1
As1 As 0.0000 0.0000 0.5000 1
As2 As 0.2500 0.2500 0.2500 1
# Total DFT energy (no corrections) (eV per atom): -4.46

[4]
# PBE AlCoCuPd, relaxed
data_AlCoCuPd
_chemical_formula_sum 'Al4 Co4 Cu4 Pd4'
_space_group_name_H-M_alt 'F -4 3 m'
_space_group_IT_number 216
_space_group_name_Hall 'F -4 2 3'
_cell_length_a 5.9356
_cell_length_b 5.9356
_cell_length_c 5.9356
_cell_angle_alpha 90.00
_cell_angle_beta 90.00
_cell_angle_gamma 90.00
loop_
_atom_site_label
_atom_site_type_symbol
_atom_site_fract_x
_atom_site_fract_y
_atom_site_fract_z
_atom_site_occupancy
Al1 Al 0.0000 0.0000 0.0000 1
Co1 Co 0.0000 0.0000 0.5000 1
Cu1 Cu 0.2500 0.2500 0.2500 1
Pd1 Pd 0.2500 0.2500 0.7500 1
# Relative energy among the computed polymorphs (meV per atom): 0
# Total DFT energy (no corrections) (eV per atom): -5.15

[5]
# PBE RbPuGe, relaxed
data_RbPuGe
_chemical_formula_sum 'Rb4 Pu4 Ge4'
_space_group_name_H-M_alt 'F -4 3 m'
_space_group_IT_number 216
_space_group_name_Hall 'F -4 2 3'
_cell_length_a 7.5564
_cell_length_b 7.5564
_cell_length_c 7.5564
_cell_angle_alpha 90.00
_cell_angle_beta 90.00
_cell_angle_gamma 90.00
loop_
_atom_site_label
_atom_site_type_symbol
_atom_site_fract_x
_atom_site_fract_y
_atom_site_fract_z
_atom_site_occupancy
Rb1 Rb 0.0000 0.0000 0.0000 1
Pu1 Pu 0.0000 0.0000 0.5000 1
Ge1 Ge 0.2500 0.2500 0.7500 1
# Relative energy among the computed polymorphs (meV per atom): 0
# Total DFT energy (no corrections) (eV per atom): -6.20

[6]
# PBE Ag2HgH6, relaxed
data_Ag2HgH6
_chemical_formula_sum 'Ag8 Hg4 H24'
_space_group_name_H-M_alt 'F m -3 m'
_space_group_IT_number 225
_space_group_name_Hall '-F 4 2 3'
_cell_length_a 6.9083
_cell_length_b 6.9083
_cell_length_c 6.9083
_cell_angle_alpha 90.00
_cell_angle_beta 90.00
_cell_angle_gamma 90.00
loop_
_atom_site_label
_atom_site_type_symbol
_atom_site_fract_x
_atom_site_fract_y
_atom_site_fract_z
_atom_site_occupancy
Ag1 Ag 0.2500 0.2500 0.2500 1
Hg1 Hg 0.0000 0.0000 0.0000 1
H1 H 0.0000 0.0000 0.2818 1
# Total DFT energy (no corrections) (eV per atom): -2.08

Question: Which value of total DFT energy (no corrections) does entry 3 give?
Answer: -4.46 eV per atom